This record from the Alexandria database describes an optimized crystal structure of Li2TaZn. The functional is PBE.

Values from the calculation:
total moment	0.00	μB/atom
electronic total energy	-4.01	eV/atom
DFT formation energy	229	meV per atom
space group	P2/m (10)

Cell and atoms, written as POSCAR:
```
Li2TaZn
1.0
2.628 0.000 0.000
0.000 4.712 0.000
-0.320 0.000 5.173
Li Ta Zn
2 1 1
Direct
0.140 0.000 0.252 Li
0.860 0.000 0.748 Li
0.500 0.500 0.000 Ta
0.000 0.500 0.500 Zn
```